An optimized crystal structure of TaTeSN2, computed with GGA-PBE.

Structure (POSCAR):
```
TaTeSN2
1.0
-0.550 3.492 -1.855
-3.815 0.025 1.178
1.288 2.392 4.120
Te Ta N S
1 1 2 1
direct
0.000 0.000 0.000
0.500 0.500 0.500
0.000 0.500 0.000
0.500 0.000 0.000
0.000 0.000 0.500
```

Values from the calculation:
As for the crystal system: tetragonal. Its space-group type is P4/mmm.

An optimized crystal structure of TaTeSN2, computed with GGA-PBE.

Structure (POSCAR):
```
TaTeSN2
1.0
-0.550 -3.646 1.673
3.271 0.570 2.318
-2.945 2.113 3.636
Te N Ta S
1 2 1 1
direct
0.500 0.500 0.500
0.500 0.000 0.000
0.000 0.500 0.000
0.000 0.000 0.000
0.000 0.000 0.500
```

Values from the calculation:
As for the crystal system: tetragonal. Its space-group type is P4/mmm.

An optimized crystal structure of TaTiSN2, computed with GGA-PBE.

Structure (POSCAR):
```
TaTiSN2
1.0
3.986 0.000 0.000
0.000 3.986 0.000
0.000 0.000 4.925
Ti S N Ta
1 1 2 1
direct
0.500 0.500 0.500
0.000 0.000 0.500
0.000 0.500 0.000
0.500 0.000 0.000
0.000 0.000 0.000
```

Values from the calculation:
As for the crystal system: tetragonal. Its space-group type is P4/mmm.

An optimized crystal structure of TaTiSN2, computed with GGA-PBE.

Structure (POSCAR):
```
TaTiSN2
1.0
-0.782 -3.574 1.160
3.711 -0.548 0.811
-0.717 1.566 4.340
S N Ta Ti
1 2 1 1
direct
0.000 0.000 0.500
0.000 0.500 0.000
0.500 0.000 0.000
0.500 0.500 0.500
0.000 0.000 0.000
```

Values from the calculation:
As for the crystal system: tetragonal. Its space-group type is P4/mmm.

no.,formation energy from raw total energies (eV per atom),size of the total moment (μB per formula unit),volume (Å³/f.u.)
1,1.62,1.3,78.7
2,0.31,0.0,84.2
3,-0.10,1.5,78.3
4,0.31,0.9,68.8